Entry 1:
Entry from the Alexandria database: a geometry-optimized LiHg3Pd structure (PBE).

formation enthalpy at 0 K = -225 meV/atom

abc: 7.481 5.744 9.816
angles: 90.00 104.48 90.00
Space group P2_1/c (No. 14)
Symmetry-distinct sites (fractional):
Li 0.145 0.248 0.171 (multiplicity 4)
Hg 0.128 0.744 0.177 (multiplicity 4)
Hg 0.284 0.023 0.456 (multiplicity 4)
Hg 0.500 0.009 0.169 (multiplicity 4)
Pd 0.183 0.515 0.440 (multiplicity 4)

=====

Entry 2:
Entry from the Alexandria database: a geometry-optimized Li6Hg2Pd structure (PBE).

formation enthalpy at 0 K = -300 meV/atom

abc: 7.7022 7.7022 2.8710
angles: 90.00 90.00 120.00
Space group P6/mmm (No. 191)
Symmetry-distinct sites (fractional):
Li 0.0000 0.3230 0.0000 (multiplicity 6)
Hg 0.3333 0.6667 0.5000 (multiplicity 2)
Pd 0.0000 0.0000 0.5000 (multiplicity 1)

=====

Entry 3:
Entry from the Alexandria database: a geometry-optimized LiHg4Pd structure (PBE).

formation enthalpy at 0 K = -103 meV/atom

abc: 8.010 4.604 8.040
angles: 90.00 111.04 90.00
Space group C2/m (No. 12)
Symmetry-distinct sites (fractional):
Li 0.000 0.000 0.000 (multiplicity 2)
Hg 0.122 0.000 0.373 (multiplicity 4)
Hg 0.123 0.500 0.877 (multiplicity 4)
Pd 0.000 0.500 0.500 (multiplicity 2)

=====

Entry 4:
Entry from the Alexandria database: a geometry-optimized Li2Hg2Pd7 structure (PBE).

formation enthalpy at 0 K = -148 meV/atom

abc: 8.240 9.349 5.092
angles: 90.00 111.78 90.00
Space group C2/m (No. 12)
Symmetry-distinct sites (fractional):
Li 0.000 0.241 0.000 (multiplicity 4)
Hg 0.226 0.500 0.056 (multiplicity 4)
Pd 0.000 0.500 0.500 (multiplicity 2)
Pd 0.110 0.000 0.344 (multiplicity 4)
Pd 0.171 0.256 0.686 (multiplicity 8)

=====

Entry 5:
Entry from the Alexandria database: a geometry-optimized Li2HgPd structure (PBE).

formation enthalpy at 0 K = -412 meV/atom

abc: 4.160 4.160 3.602
angles: 90.00 90.00 90.00
Space group P4/mmm (No. 123)
Symmetry-distinct sites (fractional):
Li 0.000 0.500 0.000 (multiplicity 2)
Hg 0.000 0.000 0.500 (multiplicity 1)
Pd 0.500 0.500 0.500 (multiplicity 1)

=====

Entry 6:
Entry from the Alexandria database: a geometry-optimized Li5HgPd structure (PBE).

formation enthalpy at 0 K = -253 meV/atom

abc: 4.334 4.334 6.610
angles: 90.00 90.00 90.00
Space group P4/mmm (No. 123)
Symmetry-distinct sites (fractional):
Li 0.000 0.000 0.000 (multiplicity 1)
Li 0.000 0.500 0.290 (multiplicity 4)
Hg 0.500 0.500 0.000 (multiplicity 1)
Pd 0.000 0.000 0.500 (multiplicity 1)

=====

Entry 7:
Entry from the Alexandria database: a geometry-optimized LiHg6Pd structure (PBE).

formation enthalpy at 0 K = -119 meV/atom

abc: 7.684 13.537 4.761
angles: 90.00 128.14 90.00
Space group C2/m (No. 12)
Symmetry-distinct sites (fractional):
Li 0.000 0.000 0.000 (multiplicity 2)
Hg 0.248 0.000 0.749 (multiplicity 4)
Hg 0.250 0.181 0.249 (multiplicity 8)
Pd 0.000 0.500 0.500 (multiplicity 2)

=====

Entry 8:
Entry from the Alexandria database: a geometry-optimized Li5Hg3Pd3 structure (PBE).

formation enthalpy at 0 K = -178 meV/atom

abc: 9.1633 9.1633 2.8830
angles: 90.00 90.00 120.00
Space group P-62m (No. 189)
Symmetry-distinct sites (fractional):
Li 0.0000 0.3137 0.0000 (multiplicity 3)
Li 0.3333 0.6667 0.0000 (multiplicity 2)
Hg 0.0000 0.5713 0.5000 (multiplicity 3)
Pd 0.0000 0.8298 0.0000 (multiplicity 3)